First-principles (PBE-GGA) data for NbV2B2 after structural relaxation, as listed in Alexandria via LeMat-Bulk.

Symmetry   R-3m
Magnetization   0.000 μB per formula unit
Energy   -8.44 eV per atom
Energy above the lowest structure with this stoichiometry   0.459 eV per atom
Calculated formation energy   -0.53 eV per formula unit

abc: 3.747 3.747 5.226
angles: 68.94 68.94 59.94
Atoms (fractional coordinates):
Nb: 0.000 0.500 0.000
V: 0.197 0.697 0.409
V: 0.803 0.303 0.591
B: 0.563 0.063 0.310
B: 0.437 0.937 0.690